An optimized crystal structure of MnTc2P, computed with PBE-GGA.

abc: 5.4009 5.4009 9.9572
angles: 90.00 90.00 90.00
Space group I-42d (No. 122)
Symmetry-distinct sites (fractional):
1 Mn 0.0000 0.0000 0.0000 (multiplicity 4)
2 Tc 0.2431 0.2500 0.1250 (multiplicity 8)
3 P 0.0000 0.0000 0.5000 (multiplicity 4)

Properties
* energy above the lowest structure with this stoichiometry: 0.899 eV per atom
* D(E_F): 0.79 states/eV per atom